Record 1
This record from Alexandria via LeMat-Bulk describes a geometry-optimized Ho4Tl5Au2 structure. The functional is PBE.

Summary:
* total DFT energy (no corrections): -41.6 eV for the cell shown
* energy of formation from the pure elements: -0.446 eV/atom
* calculated density: 11988 kg/m³
* total magnetization: 0.000 μB per atom

```
data_Ho4Tl5Au2
_chemical_formula_sum 'Ho4 Tl5 Au2'
_space_group_name_H-M_alt 'P 1 2/m 1'
_space_group_IT_number 10
_space_group_name_Hall '-P 2y'
_cell_length_a 8.0654
_cell_length_b 3.6425
_cell_length_c 9.8009
_cell_angle_alpha 90.00
_cell_angle_beta 93.18
_cell_angle_gamma 90.00
loop_
_atom_site_label
_atom_site_type_symbol
_atom_site_fract_x
_atom_site_fract_y
_atom_site_fract_z
Ho1 Ho 0.2061 0.0000 0.3545
Ho2 Ho 0.2170 0.0000 0.9210
Tl1 Tl 0.1432 0.5000 0.6302
Tl2 Tl 0.4653 0.5000 0.1650
Tl3 Tl 0.5000 0.5000 0.5000
Au1 Au 0.0819 0.5000 0.1334
```

***

Record 2
This record from Alexandria via LeMat-Bulk describes a geometry-optimized Tb4Co4Si structure. The functional is PBE.

Summary:
* energy relative to the elements, uncorrected: -223 kJ/mol of formula units
* total DFT energy (no corrections): -109.3 eV for the cell shown
* calculated density: 8469 kg/m³
* total magnetization: 0.000 μB per atom

```
data_Tb4Co4Si
_chemical_formula_sum 'Tb8 Co8 Si2'
_space_group_name_H-M_alt 'P 42/n'
_space_group_IT_number 86
_cell_length_a 8.0822
_cell_length_b 8.0822
_cell_length_c 5.4003
_cell_angle_alpha 90.00
_cell_angle_beta 90.00
_cell_angle_gamma 90.00
loop_
_space_group_symop_operation_xyz
'x,y,z'
'-x,-y,-z'
'-y,x+1/2,z+1/2'
'y,-x+1/2,-z+1/2'
'-x+1/2,-y+1/2,z'
'x+1/2,y+1/2,-z'
'y+1/2,-x,z+1/2'
'-y+1/2,x,-z+1/2'
loop_
_atom_site_label
_atom_site_type_symbol
_atom_site_fract_x
_atom_site_fract_y
_atom_site_fract_z
Tb1 Tb 0.0372 0.6873 0.1095
Co1 Co 0.0211 0.3712 0.3976
Si1 Si 0.2500 0.2500 0.2500
```

***

Record 3
This record from Alexandria via LeMat-Bulk describes a geometry-optimized In2OsPt structure. The functional is PBE.

Summary:
* total DFT energy (no corrections): -44.9 eV for the cell shown
* energy of formation from the pure elements: 0.072 eV/atom
* calculated density: 14576 kg/m³
* total magnetization: 0.000 μB per atom

```
data_In2OsPt
_chemical_formula_sum 'In4 Os2 Pt2'
_space_group_name_H-M_alt 'C m m m'
_space_group_IT_number 65
_space_group_name_Hall '-C 2 2'
_cell_length_a 6.4662
_cell_length_b 6.4831
_cell_length_c 3.3423
_cell_angle_alpha 90.00
_cell_angle_beta 90.00
_cell_angle_gamma 90.00
loop_
_atom_site_label
_atom_site_type_symbol
_atom_site_fract_x
_atom_site_fract_y
_atom_site_fract_z
In1 In 0.2500 0.2500 0.0000
Os1 Os 0.0000 0.0000 0.5000
Pt1 Pt 0.0000 0.5000 0.5000
```

***

Record 4
This record from Alexandria via LeMat-Bulk describes a geometry-optimized CdP2S2 structure. The functional is PBE.

Summary:
* energy relative to the elements, uncorrected: 706 kJ/mol of formula units
* energy above the most stable polymorph in this dataset: 469 kJ/mol of formula units
* total DFT energy (no corrections): -12.7 eV for the cell shown
* calculated density: 3258 kg/m³
* total magnetization: 0.076 μB per atom

```
data_CdP2S2
_chemical_formula_sum 'Cd1 P2 S2'
_space_group_name_H-M_alt 'P 4/m m m'
_space_group_IT_number 123
_space_group_name_Hall '-P 4 2'
_cell_length_a 5.0420
_cell_length_b 5.0420
_cell_length_c 4.7818
_cell_angle_alpha 90.00
_cell_angle_beta 90.00
_cell_angle_gamma 90.00
loop_
_atom_site_label
_atom_site_type_symbol
_atom_site_fract_x
_atom_site_fract_y
_atom_site_fract_z
Cd1 Cd 0.0000 0.0000 0.0000
P1 P 0.0000 0.5000 0.0000
S1 S 0.0000 0.0000 0.5000
S2 S 0.5000 0.5000 0.5000
```

***

Record 5
This record from Alexandria via LeMat-Bulk describes a geometry-optimized TaReRu2 structure. The functional is PBE.

Summary:
* energy above the most stable polymorph in this dataset: 0 kJ/mol of formula units
* total DFT energy (no corrections): -43.3 eV for the cell shown
* energy of formation from the pure elements: -0.110 eV/atom
* calculated density: 15583 kg/m³
* total magnetization: 0.000 μB per atom

```
data_TaReRu2
_chemical_formula_sum 'Ta1 Re1 Ru2'
_space_group_name_H-M_alt 'P 4/m m m'
_space_group_IT_number 123
_space_group_name_Hall '-P 4 2'
_cell_length_a 3.9514
_cell_length_b 3.9514
_cell_length_c 3.8853
_cell_angle_alpha 90.00
_cell_angle_beta 90.00
_cell_angle_gamma 90.00
loop_
_atom_site_label
_atom_site_type_symbol
_atom_site_fract_x
_atom_site_fract_y
_atom_site_fract_z
Ta1 Ta 0.0000 0.0000 0.0000
Re1 Re 0.5000 0.5000 0.0000
Ru1 Ru 0.0000 0.5000 0.5000
```

***

Record 6
This record from Alexandria via LeMat-Bulk describes a geometry-optimized Sm8NiSe4S3 structure. The functional is PBE.

Summary:
* energy relative to the elements, uncorrected: -2664 kJ/mol of formula units
* total DFT energy (no corrections): -292.4 eV for the cell shown
* calculated density: 7096 kg/m³
* total magnetization: 0.000 μB per atom

```
data_Sm8NiSe4S3
_chemical_formula_sum 'Sm24 Ni3 Se12 S9'
_space_group_name_H-M_alt 'R -3 m'
_space_group_IT_number 166
_space_group_name_Hall '-R 3 2"'
_cell_length_a 8.1677
_cell_length_b 8.1677
_cell_length_c 20.3377
_cell_angle_alpha 90.00
_cell_angle_beta 90.00
_cell_angle_gamma 120.00
loop_
_atom_site_label
_atom_site_type_symbol
_atom_site_fract_x
_atom_site_fract_y
_atom_site_fract_z
Sm1 Sm 0.0000 0.0000 0.2438
Sm2 Sm 0.0084 0.5042 0.2433
Ni1 Ni 0.0000 0.0000 0.5000
Se1 Se 0.0000 0.0000 0.0000
Se2 Se 0.0000 0.5000 0.0000
S1 S 0.0000 0.5000 0.5000
```

***

Record 7
This record from Alexandria via LeMat-Bulk describes a geometry-optimized ZrFe2Cl structure. The functional is PBE.

Summary:
* energy relative to the elements, uncorrected: 90 kJ/mol of formula units
* energy above the most stable polymorph in this dataset: 152 kJ/mol of formula units
* total DFT energy (no corrections): -52.8 eV for the cell shown
* calculated density: 6258 kg/m³
* total magnetization: 1.139 μB per atom

```
data_ZrFe2Cl
_chemical_formula_sum 'Zr2 Fe4 Cl2'
_space_group_name_H-M_alt 'I 4/m m m'
_space_group_IT_number 139
_space_group_name_Hall '-I 4 2'
_cell_length_a 3.6092
_cell_length_b 3.6092
_cell_length_c 9.7105
_cell_angle_alpha 90.00
_cell_angle_beta 90.00
_cell_angle_gamma 90.00
loop_
_atom_site_label
_atom_site_type_symbol
_atom_site_fract_x
_atom_site_fract_y
_atom_site_fract_z
Zr1 Zr 0.0000 0.0000 0.0000
Fe1 Fe 0.0000 0.5000 0.2500
Cl1 Cl 0.0000 0.0000 0.5000
```

***

Record 8
This record from Alexandria via LeMat-Bulk describes a geometry-optimized La3Nd5Tm3 structure. The functional is PBE.

Summary:
* total DFT energy (no corrections): -48.6 eV for the cell shown
* energy of formation from the pure elements: 0.317 eV/atom
* calculated density: 6939 kg/m³
* total magnetization: 0.000 μB per atom

```
data_La3Nd5Tm3
_chemical_formula_sum 'La3 Nd5 Tm3'
_space_group_name_H-M_alt 'P -6 2 m'
_space_group_IT_number 189
_space_group_name_Hall 'P -6 -2'
_cell_length_a 11.4652
_cell_length_b 11.4652
_cell_length_c 3.4572
_cell_angle_alpha 90.00
_cell_angle_beta 90.00
_cell_angle_gamma 120.00
loop_
_atom_site_label
_atom_site_type_symbol
_atom_site_fract_x
_atom_site_fract_y
_atom_site_fract_z
La1 La 0.0000 0.5983 0.0000
Nd1 Nd 0.0000 0.3347 0.5000
Nd2 Nd 0.3333 0.6667 0.5000
Tm1 Tm 0.0000 0.8425 0.5000
```

***

Record 9
This record from Alexandria via LeMat-Bulk describes a geometry-optimized CsZnGePSe structure. The functional is PBE.

Summary:
* energy relative to the elements, uncorrected: -106 kJ/mol of formula units
* energy above the most stable polymorph in this dataset: 121 kJ/mol of formula units
* total DFT energy (no corrections): -16.7 eV for the cell shown
* calculated density: 4060 kg/m³
* total magnetization: 0.000 μB per atom

```
data_CsZnGePSe
_chemical_formula_sum 'Cs1 Zn1 Ge1 P1 Se1'
_space_group_name_H-M_alt 'P 1'
_space_group_IT_number 1
_space_group_name_Hall 'P 1'
_cell_length_a 5.0242
_cell_length_b 5.2330
_cell_length_c 7.0157
_cell_angle_alpha 95.07
_cell_angle_beta 101.59
_cell_angle_gamma 118.09
loop_
_atom_site_label
_atom_site_type_symbol
_atom_site_fract_x
_atom_site_fract_y
_atom_site_fract_z
Cs1 Cs 0.0000 0.0000 0.0000
Zn1 Zn 0.6254 0.8785 0.4107
Ge1 Ge 0.7473 0.4269 0.4016
P1 P 0.2665 0.6795 0.6152
Se1 Se 0.3995 0.3085 0.6388
```

***

Record 10
This record from Alexandria via LeMat-Bulk describes a geometry-optimized LiCa2Ni2 structure. The functional is PBE.

Summary:
* energy above the most stable polymorph in this dataset: 20 kJ/mol of formula units
* total DFT energy (no corrections): -35.3 eV for the cell shown
* energy of formation from the pure elements: -0.039 eV/atom
* calculated density: 3224 kg/m³
* total magnetization: 0.000 μB per atom

```
data_LiCa2Ni2
_chemical_formula_sum 'Li2 Ca4 Ni4'
_space_group_name_H-M_alt 'P 4/m b m'
_space_group_IT_number 127
_space_group_name_Hall '-P 4 2ab'
_cell_length_a 7.1811
_cell_length_b 7.1811
_cell_length_c 4.0851
_cell_angle_alpha 90.00
_cell_angle_beta 90.00
_cell_angle_gamma 90.00
loop_
_atom_site_label
_atom_site_type_symbol
_atom_site_fract_x
_atom_site_fract_y
_atom_site_fract_z
Li1 Li 0.0000 0.0000 0.0000
Ca1 Ca 0.1749 0.3251 0.5000
Ni1 Ni 0.1144 0.6144 0.0000
```

***

Record 11
This record from Alexandria via LeMat-Bulk describes a geometry-optimized HfAs2PbW structure. The functional is PBE.

Summary:
* total DFT energy (no corrections): -26.1 eV for the cell shown
* energy of formation from the pure elements: 1.969 eV/atom
* calculated density: 8738 kg/m³
* total magnetization: 0.254 μB per atom

```
data_HfAs2PbW
_chemical_formula_sum 'Hf1 As2 Pb1 W1'
_space_group_name_H-M_alt 'P 4/m m m'
_space_group_IT_number 123
_space_group_name_Hall '-P 4 2'
_cell_length_a 5.1678
_cell_length_b 5.1678
_cell_length_c 5.1190
_cell_angle_alpha 90.00
_cell_angle_beta 90.00
_cell_angle_gamma 90.00
loop_
_atom_site_label
_atom_site_type_symbol
_atom_site_fract_x
_atom_site_fract_y
_atom_site_fract_z
Hf1 Hf 0.0000 0.0000 0.0000
As1 As 0.0000 0.5000 0.5000
Pb1 Pb 0.5000 0.5000 0.5000
W1 W 0.5000 0.5000 0.0000
```

***

- Which of these has the highest calculated density?
  TaReRu2

***

- Look up the total DFT energy (no corrections) of the sixth one.
  -292.4 eV for the cell shown